No. 1
VASP calculation (PBE) on crystalline Pm4InPbO at its relaxed geometry.

Calculated values
- Formation energy without anion corrections: -108 kJ per mole of atoms
- Crystal system: orthorhombic

Unit cell a=6.6928 b=6.6772 c=9.3899 alpha=90.00 beta=110.88 gamma=90.00
Sites, in units of the cell vectors:
In: 0.3859 0.2500 0.7717
Pb: 0.1085 0.2500 0.2170
Pm: 0.5000 0.0000 0.5000
Pm: 0.0000 0.5000 0.5000
Pm: 0.9175 0.2500 0.8351
O: 0.2238 0.7500 0.4476
In: 0.6141 0.7500 0.2283
Pm: 0.0000 0.0000 0.5000
Pb: 0.8915 0.7500 0.7830
Pm: 0.5670 0.2500 0.1339
Pm: 0.4330 0.7500 0.8661
O: 0.7762 0.2500 0.5524
Pm: 0.5000 0.5000 0.5000
Pm: 0.0825 0.7500 0.1649


No. 2
VASP calculation (PBE) on crystalline NdPa4Tc3N12 at its relaxed geometry.

Calculated values
- Formation energy without anion corrections: -61 kJ per mole of atoms
- Crystal system: cubic

Unit cell a=7.1343 b=7.1343 c=7.1343 alpha=109.47 beta=109.47 gamma=109.47
Sites, in units of the cell vectors:
N: 0.6834 0.8407 0.5241
N: 0.3166 0.1593 0.4759
N: 0.3166 0.8407 0.1573
N: 0.8407 0.5241 0.6834
Nd: 0.0000 0.0000 0.0000
Tc: 0.5000 0.0000 0.5000
Pa: 0.5000 0.5000 0.5000
Tc: 0.0000 0.5000 0.5000
N: 0.1593 0.4759 0.3166
N: 0.4759 0.3166 0.1593
N: 0.8427 0.6834 0.1593
N: 0.1593 0.8427 0.6834
N: 0.6834 0.1593 0.8427
N: 0.8407 0.1573 0.3166
Pa: 0.5000 0.0000 0.0000
Tc: 0.5000 0.5000 0.0000
N: 0.5241 0.6834 0.8407
Pa: 0.0000 0.5000 0.0000
Pa: 0.0000 0.0000 0.5000
N: 0.1573 0.3166 0.8407


No. 3
VASP calculation (PBE) on crystalline BaInSn4 at its relaxed geometry.

Calculated values
- E above lowest polymorph: 0.0 meV per atom
- Crystal system: orthorhombic

Unit cell a=4.6684 b=6.9827 c=6.9827 alpha=102.28 beta=70.47 gamma=70.47
Sites, in units of the cell vectors:
Sn: 0.2018 0.1303 0.4661
Ba: 0.0000 0.0000 0.0000
Sn: 0.7982 0.8697 0.5339
In: 0.5000 0.5000 0.5000
Sn: 0.7982 0.5339 0.8697
Sn: 0.2018 0.4661 0.1303


No. 4
VASP calculation (PBE) on crystalline La8Ga3GeBr4 at its relaxed geometry.

Calculated values
- Formation energy without anion corrections: -99 kJ per mole of atoms
- Crystal system: trigonal

Unit cell a=8.9283 b=8.8355 c=8.9252 alpha=120.32 beta=120.01 gamma=90.00
Sites, in units of the cell vectors:
Ga: 0.5000 0.5000 0.0000
Ga: 0.5000 0.5000 0.5000
La: 0.2417 0.7278 0.9862
Br: 0.5000 0.0000 0.0000
Br: 0.5000 0.0000 0.5000
La: 0.2417 0.7277 0.4834
La: 0.7583 0.2723 0.5166
La: 0.7438 0.7312 0.4876
La: 0.7583 0.2722 0.0138
La: 0.7445 0.7278 0.9862
Ge: 0.0000 0.5000 0.0000
La: 0.2555 0.2722 0.0138
La: 0.2562 0.2688 0.5124
Ga: 0.0000 0.5000 0.5000
Br: 0.0000 0.0000 0.0000
Br: 0.0000 0.0000 0.5000


No. 5
VASP calculation (PBE) on crystalline Pu2SbPb at its relaxed geometry.

Calculated values
- E above lowest polymorph: 2.1 meV per atom
- Formation energy without anion corrections: -36 kJ per mole of atoms
- Crystal system: tetragonal

Unit cell a=4.4992 b=4.8999 c=4.8999 alpha=90.00 beta=90.00 gamma=90.00
Sites, in units of the cell vectors:
Pu: 0.0000 0.5000 0.0000
Pu: 0.0000 0.0000 0.5000
Sb: 0.5000 0.0000 0.0000
Pb: 0.5000 0.5000 0.5000


No. 6
VASP calculation (PBE) on crystalline KAcAgO4 at its relaxed geometry.

Calculated values
- Formation energy without anion corrections: -136 kJ per mole of atoms
- Crystal system: monoclinic

Unit cell a=6.8985 b=4.3920 c=9.4489 alpha=90.00 beta=109.61 gamma=90.00
Sites, in units of the cell vectors:
Ac: 0.3131 0.2500 0.5827
O: 0.3683 0.7500 0.5002
K: 0.6949 0.7500 0.0015
O: 0.5596 0.2500 0.8343
O: 0.9468 0.4109 0.3017
O: 0.6317 0.2500 0.4998
O: 0.4404 0.7500 0.1657
O: 0.0532 0.5891 0.6983
O: 0.9468 0.0891 0.3017
Ac: 0.6869 0.7500 0.4173
K: 0.3051 0.2500 0.9985
O: 0.0532 0.9109 0.6983
Ag: 0.8151 0.2500 0.7542
Ag: 0.1849 0.7500 0.2458


No. 7
VASP calculation (PBE) on crystalline TbGa2AgAu5 at its relaxed geometry.

Calculated values
- Crystal system: tetragonal
- Final energy: -3.611 eV per atom

Unit cell a=4.6087 b=4.6087 c=8.5871 alpha=90.00 beta=90.00 gamma=90.00
Sites, in units of the cell vectors:
Au: 0.0000 0.5000 0.2720
Tb: 0.0000 0.0000 0.5000
Au: 0.5000 0.0000 0.2720
Ag: 0.0000 0.0000 0.0000
Au: 0.5000 0.5000 0.5000
Au: 0.0000 0.5000 0.7280
Au: 0.5000 0.0000 0.7280
Ga: 0.5000 0.5000 0.1403
Ga: 0.5000 0.5000 0.8597


No. 8
VASP calculation (PBE) on crystalline In2IrOs at its relaxed geometry.

Calculated values
- Crystal system: trigonal
- Final energy: -5.995 eV per atom

Unit cell a=8.9528 b=8.9528 c=8.9528 alpha=19.49 beta=19.49 gamma=19.49
Sites, in units of the cell vectors:
Ir: 0.2500 0.2500 0.2500
In: 0.5007 0.5007 0.5007
Os: 0.7500 0.7500 0.7500
In: 0.9993 0.9993 0.9993


No. 9
VASP calculation (PBE) on crystalline Hf6In3Os at its relaxed geometry.

Calculated values
- Crystal system: monoclinic
- Final energy: -7.931 eV per atom

Unit cell a=5.3767 b=8.7261 c=9.6100 alpha=90.00 beta=91.14 gamma=90.00
Sites, in units of the cell vectors:
Hf: 0.5736 0.2016 0.5577
Hf: 0.9145 0.6667 0.5337
Hf: 0.6495 0.3830 0.2672
Hf: 0.3505 0.6170 0.7328
Hf: 0.4145 0.8333 0.0337
In: 0.3588 0.0839 0.2567
Hf: 0.5855 0.1667 0.9663
Hf: 0.0736 0.2984 0.0577
Os: 0.0000 0.0000 0.0000
In: 0.1412 0.5839 0.2433
Hf: 0.8505 0.8830 0.2328
In: 0.6412 0.9161 0.7433
Hf: 0.9264 0.7016 0.9423
Hf: 0.0855 0.3333 0.4663
In: 0.8588 0.4161 0.7567
Os: 0.5000 0.5000 0.5000
Hf: 0.1495 0.1170 0.7672
In: 0.5000 0.5000 0.0000
In: 0.0000 0.0000 0.5000
Hf: 0.4264 0.7984 0.4423


No. 10
VASP calculation (PBE) on crystalline Tl2AsPbF6 at its relaxed geometry.

Calculated values
- Formation energy without anion corrections: -175 kJ per mole of atoms
- Crystal system: triclinic

Unit cell a=5.9857 b=5.9846 c=7.1021 alpha=57.48 beta=71.82 gamma=91.29
Sites, in units of the cell vectors:
F: 0.4282 0.4295 0.3317
F: 0.8448 0.7253 0.8754
Tl: 0.7918 0.2982 0.4953
F: 0.6178 0.1351 0.1252
Tl: 0.2082 0.7018 0.5047
As: 0.5000 0.5000 0.0000
F: 0.3822 0.8649 0.8748
Pb: 0.0000 0.0000 0.0000
F: 0.1552 0.2747 0.1246
F: 0.5718 0.5705 0.6683


No. 11
VASP calculation (PBE) on crystalline TmTh2Co at its relaxed geometry.

Calculated values
- E above lowest polymorph: 183.2 meV per atom
- Crystal system: tetragonal

Unit cell a=3.5462 b=3.5462 c=8.3281 alpha=90.00 beta=90.00 gamma=90.00
Sites, in units of the cell vectors:
Tm: 0.5000 0.5000 0.5000
Th: 0.0000 0.0000 0.8068
Co: 0.5000 0.5000 0.0000
Th: 0.0000 0.0000 0.1932